VASP calculation (PBE-GGA) on Ru3Pb after structural relaxation.

The formation energy comes out at 488 meV/atom. Its density is 12875 kg/m³. The calculation puts the magnetization at 0.000 μB/cell.

The space group is Pnma (No. 62) and the conventional cell measures 5.3097, 8.9598 and 5.5350 Å, with angles of 90.00, 90.00 and 90.00 degrees. Symmetry generates all atoms from Ru at (0.0961, 0.2500, 0.1134), Ru at (0.1875, 0.5115, 0.8436) and Pb at (0.0611, 0.2500, 0.5969).